Ac3HoCo | GGA-PBE | optimized geometry

Cell: 5.6649 5.6649 5.6649 Å, 90.00 90.00 90.00°
Space group Pm-3m (No. 221)
One atom of each set of equivalent atoms:
1 Ac 0.0000 0.0000 0.5000 x3
2 Ho 0.5000 0.5000 0.5000 x1
3 Co 0.0000 0.0000 0.0000 x1

Magnetization in μB per cell: 0.00
DOS at the Fermi energy in states/eV/cell: 7.8
DFT total energy in eV/atom: -4.71
ΔH_f (0 K) in eV/atom: 0.094


KRb2AsI6 | GGA-PBE | optimized geometry

Cell: 8.8390 8.8390 21.1730 Å, 90.00 90.00 120.00°
Space group R3 (No. 146, hexagonal axes)
One atom of each set of equivalent atoms:
1 K 0.0000 0.0000 0.0000 x3
2 Rb 0.0000 0.0000 0.2226 x3
3 Rb 0.0000 0.0000 0.7299 x3
4 As 0.0000 0.0000 0.5048 x3
5 I 0.0441 0.6113 0.2516 x9
6 I 0.0993 0.3679 0.0942 x9

Magnetization in μB per cell: 0.00
Uncorrected formation energy in eV/atom: -0.936
DOS at the Fermi energy in states/eV/cell: 0.0
DFT total energy in eV/atom: -2.63


SiBr2Cl2 | GGA-PBE | optimized geometry

Cell: 7.2949 7.2949 7.7579 Å, 90.00 90.00 90.00°
Space group P4/mbm (No. 127)
One atom of each set of equivalent atoms:
1 Si 0.0000 0.0000 0.0000 x2
2 Br 0.2098 0.2902 0.0000 x4
3 Cl 0.0966 0.5966 0.5000 x4

Magnetization in μB per cell: 0.00
Uncorrected formation energy in eV/atom: 0.009
DOS at the Fermi energy in states/eV/cell: 0.0
DFT total energy in eV/atom: -2.48
Distance to the lowest polymorph of the same formula in meV per atom: 0